P) First-principles (meta-GGA SCAN) data for InAg5 at its PBEsol-relaxed geometry, as listed in Alexandria.

The structure in CIF format:
```
data_InAg5
_cell_length_a 4.743
_cell_length_b 2.914
_cell_length_c 15.029
_cell_angle_alpha 90.00
_cell_angle_beta 90.00
_cell_angle_gamma 90.00
_space_group_name_H-M_alt 'A m m 2'
_space_group_IT_number 38
_space_group_name_Hall 'A 2 -2'
loop_
_atom_site_label
_atom_site_fract_x
_atom_site_fract_y
_atom_site_fract_z
In1 0.000 0.000 0.000
Ag1 0.000 0.000 0.332
Ag2 0.000 0.000 0.670
Ag3 0.500 0.000 0.222
Ag4 0.500 0.000 0.557
Ag5 0.500 0.000 0.886
```

DOS at the Fermi energy: 1.36 states/eV/f.u.
V: 17.3 A^3/atom
Total magnetic moment: 0.00 μB per cell

Q) First-principles (meta-GGA SCAN) data for InAg5 at its PBEsol-relaxed geometry, as listed in Alexandria.

The structure in CIF format:
```
data_InAg5
_cell_length_a 3.005
_cell_length_b 3.005
_cell_length_c 11.594
_cell_angle_alpha 90.00
_cell_angle_beta 90.00
_cell_angle_gamma 90.00
_space_group_name_H-M_alt 'P 4/m m m'
_space_group_IT_number 123
_space_group_name_Hall '-P 4 2'
loop_
_atom_site_label
_atom_site_fract_x
_atom_site_fract_y
_atom_site_fract_z
In1 0.000 0.000 0.000
Ag1 0.000 0.000 0.340
Ag2 0.500 0.500 0.177
Ag3 0.500 0.500 0.500
```

DOS at the Fermi energy: 1.49 states/eV/f.u.
V: 17.4 A^3/atom
Total magnetic moment: 0.00 μB per cell

Which one sits at the bottom of the stability order? Q) does.